Entry from OQMD via LeMat-Bulk: an optimized crystal structure of Ag2SnHgSeS3 (PBE-GGA).

a = 5.901 Å, b = 5.901 Å, c = 7.335 Å
α = 113.79°, β = 113.79°, γ = 89.31°
Fractional positions:
1 Ag 0.238 0.762 0.000
2 Ag 0.762 0.238 0.000
3 Sn 0.013 0.013 0.516
4 Hg 0.503 0.503 0.513
5 Se 0.640 0.640 0.257
6 S 0.125 0.125 0.271
7 S 0.369 0.895 0.760
8 S 0.895 0.369 0.760

Summary:
space group = Cm (8)
electronic total energy = -3.4595 eV per atom
theoretical density = 5606 kg/m³

---

Entry from OQMD via LeMat-Bulk: an optimized crystal structure of Ag2SnHgSe3S (PBE-GGA).

a = 6.057 Å, b = 6.057 Å, c = 7.456 Å
α = 113.41°, β = 113.41°, γ = 90.68°
Fractional positions:
1 Ag 0.238 0.762 0.000
2 Ag 0.762 0.238 0.000
3 Sn 0.998 0.998 0.484
4 Hg 0.490 0.490 0.487
5 Se 0.362 0.881 0.739
6 Se 0.627 0.627 0.230
7 Se 0.881 0.362 0.739
8 S 0.112 0.112 0.244

Summary:
space group = Cm (8)
electronic total energy = -3.3103 eV per atom
theoretical density = 5916 kg/m³

---

Entry from OQMD via LeMat-Bulk: an optimized crystal structure of TcAg2HgSeS3 (PBE-GGA).

a = 6.114 Å, b = 6.114 Å, c = 6.782 Å
α = 116.32°, β = 116.32°, γ = 90.36°
Fractional positions:
1 Tc 0.000 0.000 0.000
2 Ag 0.258 0.783 0.527
3 Ag 0.783 0.258 0.527
4 Hg 0.522 0.522 0.025
5 Se 0.353 0.353 0.266
6 S 0.106 0.674 0.771
7 S 0.674 0.106 0.771
8 S 0.916 0.916 0.251

Summary:
space group = Cm (8)
electronic total energy = -4.1231 eV per atom
theoretical density = 5810 kg/m³

---

Entry from OQMD via LeMat-Bulk: an optimized crystal structure of SiAg2HgTe2S2 (PBE-GGA).

a = 7.328 Å, b = 7.313 Å, c = 6.172 Å
α = 65.19°, β = 64.94°, γ = 49.86°
Fractional positions:
1 Si 0.000 0.000 0.000
2 Ag 0.297 0.297 0.203
3 Ag 0.797 0.797 0.703
4 Hg 0.545 0.545 0.455
5 Te 0.363 0.932 0.068
6 Te 0.932 0.363 0.637
7 S 0.116 0.696 0.884
8 S 0.696 0.116 0.304

Summary:
space group = Fmm2 (42)
theoretical density = 5665 kg/m³
distance to the lowest polymorph of the same formula = 5 kJ/mol of formula units

---

Entry from OQMD via LeMat-Bulk: an optimized crystal structure of SiAg2HgTe2S2 (PBE-GGA).

a = 7.305 Å, b = 7.305 Å, c = 5.995 Å
α = 112.78°, β = 112.78°, γ = 48.66°
Fractional positions:
1 Si 0.000 0.000 0.000
2 Ag 0.314 0.180 0.812
3 Ag 0.820 0.686 0.188
4 Hg 0.508 0.492 0.500
5 Te 0.120 0.610 0.661
6 Te 0.390 0.880 0.339
7 S 0.712 0.080 0.127
8 S 0.920 0.288 0.873

Summary:
space group = C2 (5)
theoretical density = 5834 kg/m³
distance to the lowest polymorph of the same formula = 0 kJ/mol of formula units

---

Entry from OQMD via LeMat-Bulk: an optimized crystal structure of Ag2SnHgS4 (PBE-GGA).

a = 5.825 Å, b = 5.825 Å, c = 7.253 Å
α = 113.52°, β = 113.52°, γ = 90.07°
Fractional positions:
1 Ag 0.248 0.752 0.000
2 Ag 0.752 0.248 0.000
3 Sn 0.500 0.500 0.500
4 Hg 0.003 0.003 0.500
5 S 0.138 0.614 0.253
6 S 0.387 0.387 0.749
7 S 0.614 0.138 0.253
8 S 0.860 0.860 0.745

Summary:
space group = Cm (8)
electronic total energy = -3.5362 eV per atom
theoretical density = 5423 kg/m³

---

Entry from OQMD via LeMat-Bulk: an optimized crystal structure of Ag2SnHgS4 (PBE-GGA).

a = 8.181 Å, b = 7.262 Å, c = 6.854 Å
α = 90.00°, β = 90.00°, γ = 90.00°
Fractional positions:
1 Ag 0.246 0.166 0.000
2 Ag 0.254 0.834 0.500
3 Ag 0.746 0.834 0.500
4 Ag 0.754 0.166 0.000
5 Sn 0.000 0.666 0.012
6 Sn 0.500 0.334 0.512
7 Hg 0.000 0.357 0.512
8 Hg 0.500 0.643 0.012
9 S 0.000 0.349 0.131
10 S 0.000 0.684 0.655
11 S 0.242 0.833 0.128
12 S 0.258 0.167 0.628
13 S 0.500 0.316 0.155
14 S 0.500 0.651 0.631
15 S 0.742 0.167 0.628
16 S 0.758 0.833 0.128

Summary:
space group = Pmn2_1 (31)
electronic total energy = -3.5377 eV per atom
theoretical density = 5410 kg/m³

---

Entry from OQMD via LeMat-Bulk: an optimized crystal structure of Ag2SnHgTe3S (PBE-GGA).

a = 6.367 Å, b = 6.367 Å, c = 7.742 Å
α = 113.32°, β = 113.32°, γ = 91.21°
Fractional positions:
1 Ag 0.226 0.774 0.000
2 Ag 0.774 0.226 0.000
3 Sn 0.001 0.001 0.465
4 Hg 0.485 0.485 0.473
5 Te 0.365 0.876 0.735
6 Te 0.615 0.615 0.202
7 Te 0.876 0.365 0.735
8 S 0.114 0.114 0.236

Summary:
space group = Cm (8)
electronic total energy = -3.1028 eV per atom
theoretical density = 6097 kg/m³

---

Q: Which formula does entry 7 have?
A: Ag2SnHgS4